Below is an optimized crystal structure of YSiIO2, with properties calculated at the PBE level.

a b c (Å): 4.049 4.049 5.251
angles (deg): 90.00 90.00 90.00
Positions (direct):
Y  0.000  0.000  0.000
Si  0.500  0.500  0.500
I  0.500  0.500  0.000
O  0.000  0.500  0.500
O  0.500  0.000  0.500

Results
uncorrected formation energy: -3.63 eV per formula unit
DOS(E_F): 2.58 states/eV per cell
space-group type: P4/mmm, No. 123
E above lowest polymorph: 0.584 eV per formula unit
density: 5.3 g/cm³
size of the total moment: 0.00 Bohr magnetons per cell


Below is an optimized crystal structure of CaAl3CuPt, with properties calculated at the PBE level.

a b c (Å): 6.826 6.826 5.863
angles (deg): 90.00 90.00 123.81
Positions (direct):
Ca  0.224  0.776  0.750
Ca  0.776  0.224  0.250
Al  0.208  0.208  0.000
Al  0.208  0.208  0.500
Al  0.345  0.655  0.250
Al  0.655  0.345  0.750
Al  0.792  0.792  0.000
Al  0.792  0.792  0.500
Cu  0.454  0.546  0.750
Cu  0.546  0.454  0.250
Pt  0.135  0.865  0.250
Pt  0.865  0.135  0.750

Results
formation enthalpy at 0 K: -0.447 eV per atom
DOS(E_F): 4.29 states/eV per cell
space-group type: Cmcm, No. 63
density: 5.6 g/cm³
size of the total moment: 0.00 Bohr magnetons per cell


Below is an optimized crystal structure of CaPr2RuO6, with properties calculated at the PBE level.

a b c (Å): 5.652 5.982 9.867
angles (deg): 90.00 124.18 90.00
Positions (direct):
Ca  0.000  0.000  0.000
Ca  0.000  0.500  0.500
Pr  0.270  0.065  0.749
Pr  0.270  0.435  0.249
Pr  0.730  0.565  0.751
Pr  0.730  0.935  0.251
Ru  0.500  0.000  0.500
Ru  0.500  0.500  0.000
O  0.149  0.047  0.268
O  0.149  0.453  0.768
O  0.266  0.684  0.056
O  0.266  0.816  0.556
O  0.390  0.214  0.067
O  0.390  0.286  0.567
O  0.610  0.714  0.433
O  0.610  0.786  0.933
O  0.734  0.184  0.444
O  0.734  0.316  0.944
O  0.851  0.547  0.232
O  0.851  0.953  0.732

Results
uncorrected formation energy: -25.40 eV per formula unit
DOS(E_F): 9.97 states/eV per cell
space-group type: P2_1/c, No. 14
density: 6.2 g/cm³
size of the total moment: 4.00 Bohr magnetons per cell


Below is an optimized crystal structure of FeTcNi, with properties calculated at the PBE level.

a b c (Å): 5.511 5.511 5.511
angles (deg): 90.00 90.00 90.00
Positions (direct):
Fe  0.000  0.000  0.000
Fe  0.000  0.500  0.500
Fe  0.500  0.000  0.500
Fe  0.500  0.500  0.000
Tc  0.250  0.250  0.750
Tc  0.250  0.750  0.250
Tc  0.750  0.250  0.250
Tc  0.750  0.750  0.750
Ni  0.250  0.250  0.250
Ni  0.250  0.750  0.750
Ni  0.750  0.250  0.750
Ni  0.750  0.750  0.250

Results
formation enthalpy at 0 K: 0.493 eV per atom
DOS(E_F): 18.87 states/eV per cell
space-group type: F-43m, No. 216
E above lowest polymorph: 1.377 eV per formula unit
density: 8.4 g/cm³
size of the total moment: 7.12 Bohr magnetons per cell


Below is an optimized crystal structure of InRu2Rh, with properties calculated at the PBE level.

a b c (Å): 2.847 2.847 7.643
angles (deg): 90.00 90.00 90.00
Positions (direct):
In  0.000  0.000  0.000
Ru  0.000  0.000  0.507
Ru  0.500  0.500  0.726
Rh  0.500  0.500  0.264

Results
formation enthalpy at 0 K: 0.035 eV per atom
DOS(E_F): 3.02 states/eV per cell
space-group type: P4mm, No. 99
density: 11.3 g/cm³
size of the total moment: 0.00 Bohr magnetons per cell


Below is an optimized crystal structure of CaDy8Tm4, with properties calculated at the PBE level.

a b c (Å): 6.140 6.140 14.619
angles (deg): 93.93 93.93 48.15
Positions (direct):
Ca  0.000  0.000  0.000
Dy  0.076  0.076  0.764
Dy  0.233  0.233  0.309
Dy  0.307  0.307  0.081
Dy  0.461  0.461  0.614
Dy  0.539  0.539  0.386
Dy  0.693  0.693  0.919
Dy  0.767  0.767  0.691
Dy  0.924  0.924  0.236
Tm  0.153  0.153  0.538
Tm  0.378  0.378  0.840
Tm  0.622  0.622  0.160
Tm  0.847  0.847  0.462

Results
formation enthalpy at 0 K: 0.053 eV per atom
DOS(E_F): 19.39 states/eV per cell
space-group type: C2/m, No. 12
density: 8.2 g/cm³
size of the total moment: 0.00 Bohr magnetons per cell


Below is an optimized crystal structure of Ca2HgPd3, with properties calculated at the PBE level.

a b c (Å): 4.964 5.592 9.500
angles (deg): 90.00 90.00 90.00
Positions (direct):
Ca  0.000  0.000  0.180
Ca  0.000  0.000  0.820
Ca  0.500  0.500  0.320
Ca  0.500  0.500  0.680
Hg  0.000  0.000  0.500
Hg  0.500  0.500  0.000
Pd  0.000  0.500  0.145
Pd  0.000  0.500  0.500
Pd  0.000  0.500  0.855
Pd  0.500  0.000  0.000
Pd  0.500  0.000  0.355
Pd  0.500  0.000  0.645

Results
formation enthalpy at 0 K: -0.382 eV per atom
DOS(E_F): 6.51 states/eV per cell
space-group type: Immm, No. 71
E above lowest polymorph: 0.268 eV per formula unit
density: 7.6 g/cm³
size of the total moment: 0.00 Bohr magnetons per cell


Below is an optimized crystal structure of Na5Tl12Sn2, with properties calculated at the PBE level.

a b c (Å): 8.947 8.947 8.007
angles (deg): 90.61 90.61 63.48
Positions (direct):
Na  0.000  0.000  0.000
Na  0.235  0.235  0.065
Na  0.306  0.306  0.506
Na  0.694  0.694  0.494
Na  0.765  0.765  0.935
Tl  0.034  0.662  0.258
Tl  0.090  0.090  0.388
Tl  0.172  0.580  0.833
Tl  0.338  0.966  0.742
Tl  0.420  0.828  0.167
Tl  0.440  0.440  0.171
Tl  0.560  0.560  0.829
Tl  0.580  0.172  0.833
Tl  0.662  0.034  0.258
Tl  0.828  0.420  0.167
Tl  0.910  0.910  0.612
Tl  0.966  0.338  0.742
Sn  0.311  0.689  0.500
Sn  0.689  0.311  0.500

Results
formation enthalpy at 0 K: -0.052 eV per atom
DOS(E_F): 8.76 states/eV per cell
space-group type: C2/m, No. 12
E above lowest polymorph: 0.000 eV per formula unit
density: 8.1 g/cm³
size of the total moment: 0.00 Bohr magnetons per cell


Below is an optimized crystal structure of Li2SnMo, with properties calculated at the PBE level.

a b c (Å): 7.284 7.284 5.422
angles (deg): 90.00 90.00 90.00
Positions (direct):
Li  0.249  0.250  0.125
Li  0.250  0.749  0.375
Li  0.250  0.751  0.875
Li  0.251  0.250  0.625
Li  0.749  0.750  0.625
Li  0.750  0.249  0.875
Li  0.750  0.251  0.375
Li  0.751  0.750  0.125
Sn  0.000  0.000  0.000
Sn  0.000  0.500  0.250
Sn  0.500  0.000  0.750
Sn  0.500  0.500  0.500
Mo  0.000  0.000  0.500
Mo  0.000  0.500  0.750
Mo  0.500  0.000  0.250
Mo  0.500  0.500  0.000

Results
formation enthalpy at 0 K: 0.541 eV per atom
DOS(E_F): 9.10 states/eV per cell
space-group type: I-42d, No. 122
density: 5.3 g/cm³
size of the total moment: 7.77 Bohr magnetons per cell


Below is an optimized crystal structure of RbGeTe2I, with properties calculated at the PBE level.

a b c (Å): 6.598 6.598 6.501
angles (deg): 90.00 90.00 90.00
Positions (direct):
Rb  0.000  0.000  0.000
Ge  0.500  0.500  0.500
Te  0.000  0.500  0.000
Te  0.500  0.000  0.000
I  0.000  0.000  0.500

Results
uncorrected formation energy: 4.42 eV per formula unit
DOS(E_F): 6.61 states/eV per cell
space-group type: P4/mmm, No. 123
E above lowest polymorph: 6.043 eV per formula unit
density: 3.2 g/cm³
size of the total moment: 2.02 Bohr magnetons per cell


Below is an optimized crystal structure of TmTh2Pt2, with properties calculated at the PBE level.

a b c (Å): 8.012 8.012 3.903
angles (deg): 90.00 90.00 90.00
Positions (direct):
Tm  0.000  0.000  0.000
Tm  0.500  0.500  0.000
Th  0.171  0.329  0.500
Th  0.329  0.829  0.500
Th  0.671  0.171  0.500
Th  0.829  0.671  0.500
Pt  0.133  0.633  0.000
Pt  0.367  0.133  0.000
Pt  0.633  0.867  0.000
Pt  0.867  0.367  0.000

Results
formation enthalpy at 0 K: -1.036 eV per atom
DOS(E_F): 10.44 states/eV per cell
space-group type: P4/mbm, No. 127
density: 13.6 g/cm³
size of the total moment: 0.00 Bohr magnetons per cell


Below is an optimized crystal structure of Li2CaEr2Si2, with properties calculated at the PBE level.

a b c (Å): 9.192 9.192 9.192
angles (deg): 28.41 28.41 28.41
Positions (direct):
Li  0.093  0.093  0.093
Li  0.907  0.907  0.907
Ca  0.500  0.500  0.500
Er  0.371  0.371  0.371
Er  0.629  0.629  0.629
Si  0.247  0.247  0.247
Si  0.753  0.753  0.753

Results
uncorrected formation energy: -2.62 eV per formula unit
DOS(E_F): 3.01 states/eV per cell
space-group type: R-3m, No. 166
density: 4.8 g/cm³
size of the total moment: 0.00 Bohr magnetons per cell